[1]
First-principles (PBE-GGA) data for a relaxed Tm2Fe3Mo crystal, as listed in Alexandria.

Unit cell a=5.254 b=5.254 c=8.142 alpha=90.00 beta=90.00 gamma=120.00
Positions (direct):
1 Tm 0.333 0.667 0.062
2 Tm 0.333 0.667 0.438
3 Tm 0.667 0.333 0.562
4 Tm 0.667 0.333 0.938
5 Fe 0.172 0.344 0.750
6 Fe 0.172 0.828 0.750
7 Fe 0.344 0.172 0.250
8 Fe 0.656 0.828 0.750
9 Fe 0.828 0.172 0.250
10 Fe 0.828 0.656 0.250
11 Mo 0.000 0.000 0.000
12 Mo 0.000 0.000 0.500

- calculated total energy (eV per atom) = -7.5903
- space-group type = P6_3/mmc (194)


[2]
First-principles (PBE-GGA) data for a relaxed TmFe9Mo2 crystal, as listed in Alexandria.

Unit cell a=8.288 b=8.288 c=8.288 alpha=33.86 beta=33.86 gamma=33.86
Positions (direct):
1 Tm 0.000 0.000 0.000
2 Fe 0.083 0.589 0.589
3 Fe 0.333 0.333 0.333
4 Fe 0.411 0.411 0.917
5 Fe 0.411 0.917 0.411
6 Fe 0.500 0.500 0.500
7 Fe 0.589 0.083 0.589
8 Fe 0.589 0.589 0.083
9 Fe 0.667 0.667 0.667
10 Fe 0.917 0.411 0.411
11 Mo 0.146 0.146 0.146
12 Mo 0.854 0.854 0.854

- calculated total energy (eV per atom) = -8.5308
- space-group type = R-3m (166)


[3]
First-principles (PBE-GGA) data for a relaxed TmFe4Mo crystal, as listed in Alexandria.

Unit cell a=4.885 b=4.885 c=8.086 alpha=90.00 beta=90.00 gamma=120.00
Positions (direct):
1 Tm 0.333 0.667 0.427
2 Tm 0.667 0.333 0.573
3 Fe 0.000 0.000 0.000
4 Fe 0.000 0.000 0.500
5 Fe 0.168 0.336 0.763
6 Fe 0.168 0.832 0.763
7 Fe 0.336 0.168 0.237
8 Fe 0.664 0.832 0.763
9 Fe 0.832 0.168 0.237
10 Fe 0.832 0.664 0.237
11 Mo 0.333 0.667 0.046
12 Mo 0.667 0.333 0.954

- excess energy over the best structure of this formula in the dataset (meV per atom) = 0
- space-group type = P-3m1 (164)


[4]
First-principles (PBE-GGA) data for a relaxed TmFe4Mo crystal, as listed in Alexandria.

Unit cell a=4.905 b=4.905 c=4.905 alpha=60.00 beta=60.00 gamma=60.00
Positions (direct):
1 Tm 0.000 0.000 0.000
2 Fe 0.376 0.376 0.376
3 Fe 0.376 0.376 0.873
4 Fe 0.376 0.873 0.376
5 Fe 0.873 0.376 0.376
6 Mo 0.750 0.750 0.750

- excess energy over the best structure of this formula in the dataset (meV per atom) = 52
- space-group type = F-43m (216)


[5]
First-principles (PBE-GGA) data for a relaxed UFeMo crystal, as listed in Alexandria.

Unit cell a=4.621 b=7.889 c=5.734 alpha=90.00 beta=104.93 gamma=90.00
Positions (direct):
1 U 0.025 0.000 0.429
2 U 0.376 0.528 0.109
3 U 0.624 0.028 0.891
4 U 0.975 0.500 0.571
5 Fe 0.122 0.848 0.755
6 Fe 0.454 0.910 0.179
7 Fe 0.546 0.410 0.821
8 Fe 0.878 0.348 0.245
9 Mo 0.091 0.176 0.945
10 Mo 0.439 0.207 0.439
11 Mo 0.561 0.707 0.561
12 Mo 0.909 0.676 0.055

- excess energy over the best structure of this formula in the dataset (meV per atom) = 54
- space-group type = P2_1 (4)


[6]
First-principles (PBE-GGA) data for a relaxed UFeMo crystal, as listed in Alexandria.

Unit cell a=4.392 b=4.392 c=2.819 alpha=90.00 beta=90.00 gamma=120.00
Positions (direct):
1 U 0.000 0.000 0.000
2 Fe 0.667 0.333 0.258
3 Mo 0.333 0.667 0.744

- excess energy over the best structure of this formula in the dataset (meV per atom) = 96
- space-group type = P3m1 (156)


[7]
First-principles (PBE-GGA) data for a relaxed UFeMo crystal, as listed in Alexandria.

Unit cell a=6.252 b=6.252 c=6.252 alpha=153.76 beta=153.76 gamma=37.44
Positions (direct):
1 U 0.000 0.000 0.000
2 Fe 0.666 0.666 0.000
3 Mo 0.300 0.300 0.000

- excess energy over the best structure of this formula in the dataset (meV per atom) = 0
- space-group type = I4mm (107)


[8]
First-principles (PBE-GGA) data for a relaxed U2FeMo crystal, as listed in Alexandria.

Unit cell a=7.905 b=7.905 c=7.905 alpha=24.53 beta=24.53 gamma=24.53
Positions (direct):
1 U 0.240 0.240 0.240
2 U 0.760 0.760 0.760
3 Fe 0.500 0.500 0.500
4 Mo 0.000 0.000 0.000

- calculated total energy (eV per atom) = -10.0612
- space-group type = R-3m (166)


Number 2 is which compound? TmFe9Mo2